The following is a DFT calculation (PBE) of a relaxed Pr3NdGa3 crystal.

Cell lengths 7.8336, 7.8336, 7.8336 Å; angles 72.82, 72.82, 72.82 degrees
Fractional coordinates of all 14 atoms:
1 Pr 0.1040 0.8440 0.3344
2 Pr 0.1560 0.6656 0.8960
3 Pr 0.3344 0.1040 0.8440
4 Pr 0.6656 0.8960 0.1560
5 Pr 0.8440 0.3344 0.1040
6 Pr 0.8960 0.1560 0.6656
7 Nd 0.3197 0.3197 0.3197
8 Nd 0.6803 0.6803 0.6803
9 Ga 0.0725 0.4702 0.6549
10 Ga 0.3451 0.9275 0.5298
11 Ga 0.4702 0.6549 0.0725
12 Ga 0.5298 0.3451 0.9275
13 Ga 0.6549 0.0725 0.4702
14 Ga 0.9275 0.5298 0.3451

Summary:
VASP energy, eV/cell: -61.044
Energy relative to the elements, eV/atom: -0.33
Theoretical density, Mg/m³: 6.034

---

The following is a DFT calculation (PBE) of a relaxed AcTbSmPb crystal.

Cell lengths 5.6552, 5.6552, 5.6552 Å; angles 60.00, 60.00, 60.00 degrees
Fractional coordinates of all 4 atoms:
1 Ac 0.0000 0.0000 0.0000
2 Tb 0.7500 0.7500 0.7500
3 Sm 0.2500 0.2500 0.2500
4 Pb 0.5000 0.5000 0.5000

Summary:
VASP energy, eV/cell: -17.510
Energy relative to the elements, eV/atom: -0.09
Theoretical density, Mg/m³: 9.654

---

The following is a DFT calculation (PBE) of a relaxed CrCu4Sn crystal.

Cell lengths 4.9444, 4.9444, 4.9444 Å; angles 60.00, 60.00, 60.00 degrees
Fractional coordinates of all 6 atoms:
1 Cr 0.0000 0.0000 0.0000
2 Cu 0.3744 0.3744 0.3744
3 Cu 0.3744 0.3744 0.8769
4 Cu 0.3744 0.8769 0.3744
5 Cu 0.8769 0.3744 0.3744
6 Sn 0.7500 0.7500 0.7500

Summary:
VASP energy, eV/cell: -29.477
Energy relative to the elements, eV/atom: 0.09
Theoretical density, Mg/m³: 8.255

---

The following is a DFT calculation (PBE) of a relaxed ScSnTe2I crystal.

Cell lengths 5.6663, 5.6663, 5.5108 Å; angles 90.00, 90.00, 90.00 degrees
Fractional coordinates of all 5 atoms:
1 Sc 0.0000 0.0000 0.0000
2 Sn 0.5000 0.5000 0.5000
3 Te 0.0000 0.5000 0.0000
4 Te 0.5000 0.0000 0.0000
5 I 0.0000 0.0000 0.5000

Summary:
VASP energy, eV/cell: -20.000
Formation energy (no corrections), meV per atom: -366
Theoretical density, Mg/m³: 5.122